## a
The following is a PBE calculation of a relaxed YTmGaNi crystal, from Alexandria via LeMat-Bulk.

## Properties
N(E_F) = 0.88 states/eV per atom

Cell: 6.936 6.936 6.936 Å, 90.00 90.00 90.00°
Space group F-43m (No. 216)
Asymmetric unit:
Y 0.000 0.000 0.000 [4 per cell]
Tm 0.000 0.000 0.500 [4 per cell]
Ga 0.250 0.250 0.250 [4 per cell]
Ni 0.250 0.250 0.750 [4 per cell]

## b
The following is a PBE calculation of a relaxed YTmGaNi crystal, from Alexandria via LeMat-Bulk.

## Properties
N(E_F) = 0.79 states/eV per atom

Cell: 4.312 3.709 10.796 Å, 90.00 90.00 90.00°
Space group Amm2 (No. 38)
Asymmetric unit:
Y 0.000 0.000 0.000 [2 per cell]
Tm 0.500 0.000 0.286 [2 per cell]
Ga 0.500 0.000 0.574 [2 per cell]
Ni 0.000 0.000 0.714 [2 per cell]

The most stable structure shown above is b; the least stable is a.